1.
This record from Alexandria describes La2NbVBi after structural relaxation. The functional is PBE.

Cell: 5.4933 4.7181 5.4933 Å, 90.00 90.00 90.00°
Fractional coordinates of all 5 atoms:
V (0.0000, 0.0000, 0.0000)
La (0.5000, 0.0000, 0.0000)
La (0.0000, 0.0000, 0.5000)
Nb (0.0000, 0.5000, 0.0000)
Bi (0.5000, 0.5000, 0.5000)

Properties
VASP energy in eV/cell: -31.49
DFT formation energy in meV per atom: 287.3



2.
This record from Alexandria describes LaNdBi after structural relaxation. The functional is PBE.

Cell: 4.7254 4.7254 9.1638 Å, 90.00 90.00 90.00°
Fractional coordinates of all 6 atoms:
La (0.5000, 0.0000, 0.1471)
La (0.0000, 0.5000, 0.8529)
Bi (0.0000, 0.5000, 0.2235)
Bi (0.5000, 0.0000, 0.7765)
Nd (0.0000, 0.0000, 0.5000)
Nd (0.5000, 0.5000, 0.5000)

Properties
VASP energy in eV/cell: -31.33
DFT formation energy in meV per atom: -696.5



3.
This record from Alexandria describes La3Nd5Bi8 after structural relaxation. The functional is PBE.

Cell: 9.2924 9.2924 9.2924 Å, 60.01 60.01 60.01°
Fractional coordinates of all 16 atoms:
Nd (0.0000, 0.5000, 0.5000)
Nd (0.0000, 0.0000, 0.0000)
Nd (0.5000, 0.0000, 0.5000)
Nd (0.5000, 0.5000, 0.5000)
Nd (0.5000, 0.5000, 0.0000)
Bi (0.7473, 0.2500, 0.2500)
Bi (0.7500, 0.2527, 0.7500)
Bi (0.2527, 0.7500, 0.7500)
Bi (0.2500, 0.7473, 0.2500)
Bi (0.2514, 0.2514, 0.2514)
Bi (0.7486, 0.7486, 0.7486)
Bi (0.7500, 0.7500, 0.2527)
Bi (0.2500, 0.2500, 0.7473)
La (0.0000, 0.5000, 0.0000)
La (0.0000, 0.0000, 0.5000)
La (0.5000, 0.0000, 0.0000)

Properties
VASP energy in eV/cell: -85.50
DFT formation energy in meV per atom: -989.5



4.
This record from Alexandria describes LaNdBi2 after structural relaxation. The functional is PBE.

Cell: 3.4831 6.0494 6.0494 Å, 90.00 90.00 90.00°
Fractional coordinates of all 4 atoms:
Bi (0.0000, 0.5000, 0.0000)
Bi (0.0000, 0.0000, 0.5000)
Nd (0.5000, 0.5000, 0.5000)
La (0.5000, 0.0000, 0.0000)

Properties
VASP energy in eV/cell: -20.73
Excess energy over the best structure of this formula in the dataset in meV per atom: 185
DFT formation energy in meV per atom: -818.9



5.
This record from Alexandria describes LaNd3Bi3 after structural relaxation. The functional is PBE.

Cell: 9.5566 9.5566 8.4869 Å, 55.74 55.74 60.00°
Fractional coordinates of all 14 atoms:
Bi (0.7020, 0.4646, 0.7558)
Bi (0.2980, 0.5354, 0.2442)
Bi (0.4646, 0.0775, 0.7558)
Bi (0.5354, 0.9225, 0.2442)
Bi (0.0775, 0.7020, 0.7558)
Bi (0.9225, 0.2980, 0.2442)
Nd (0.3489, 0.8188, 0.7431)
Nd (0.1812, 0.9108, 0.2569)
Nd (0.8188, 0.0892, 0.7431)
Nd (0.6511, 0.1812, 0.2569)
Nd (0.9108, 0.6511, 0.2569)
Nd (0.0892, 0.3489, 0.7431)
La (0.3337, 0.3337, 0.9988)
La (0.6663, 0.6663, 0.0012)

Properties
VASP energy in eV/cell: -72.22
Excess energy over the best structure of this formula in the dataset in meV per atom: 107
DFT formation energy in meV per atom: -748.2



6.
This record from Alexandria describes LaNdBi2 after structural relaxation. The functional is PBE.

Cell: 4.6155 4.6155 8.3692 Å, 73.99 73.99 60.00°
Fractional coordinates of all 4 atoms:
Bi (0.2498, 0.2498, 0.2507)
Bi (0.0835, 0.0835, 0.7496)
La (0.6689, 0.6689, 0.9934)
Nd (0.4979, 0.4979, 0.5064)

Properties
VASP energy in eV/cell: -21.01
Excess energy over the best structure of this formula in the dataset in meV per atom: 115
DFT formation energy in meV per atom: -888.7



> The highest VASP energy belongs to which entry?

number 4



> DFT formation energy of number 3 (La3Nd5Bi8)?

-989.5 meV per atom



> Look up the VASP energy of the fifth one.

-72.22 eV/cell